Record 1
Density functional theory data (PBE-GGA) for a relaxed Ta2HO crystal. Values from VASP.

Geometry as Quantum ESPRESSO input:
```
&SYSTEM
  ibrav = 0, nat = 4, ntyp = 3
/
ATOMIC_SPECIES
H 1.01 H.upf
O 16.00 O.upf
Ta 180.95 Ta.upf
ATOMIC_POSITIONS crystal
H 0.000 0.000 0.000
O 0.500 0.500 0.500
Ta 0.250 0.250 0.250
Ta 0.750 0.750 0.750
CELL_PARAMETERS angstrom
0.000 2.839 2.839
2.839 0.000 2.839
2.839 2.839 0.000
```

Results
- polymorph energy (0 for the lowest one) (meV/atom) = 1005
- DOS at the Fermi energy (states/eV per cell) = 5.05



Record 2
Density functional theory data (PBE-GGA) for a relaxed Ta2H4O7 crystal. Values from VASP.

Geometry as Quantum ESPRESSO input:
```
&SYSTEM
  ibrav = 0, nat = 26, ntyp = 3
/
ATOMIC_SPECIES
Ta 180.95 Ta.upf
H 1.01 H.upf
O 16.00 O.upf
ATOMIC_POSITIONS crystal
Ta 0.625 0.125 0.625
Ta 0.625 0.625 0.125
Ta 0.125 0.625 0.625
Ta 0.625 0.625 0.625
H 0.058 0.825 0.058
H 0.825 0.058 0.058
H 0.058 0.058 0.058
H 0.058 0.058 0.825
H 0.192 0.192 0.192
H 0.192 0.192 0.425
H 0.425 0.192 0.192
H 0.192 0.425 0.192
O 0.697 0.303 0.303
O 0.303 0.697 0.697
O 0.303 0.303 0.697
O 0.697 0.697 0.303
O 0.303 0.697 0.303
O 0.697 0.303 0.697
O 0.553 0.947 0.947
O 0.947 0.553 0.553
O 0.947 0.947 0.553
O 0.553 0.553 0.947
O 0.947 0.553 0.947
O 0.553 0.947 0.553
O 0.000 0.000 0.000
O 0.250 0.250 0.250
CELL_PARAMETERS angstrom
-7.161 -1.515 0.740
-3.163 0.327 6.634
-4.761 5.392 1.544
```

Results
- polymorph energy (0 for the lowest one) (meV/atom) = 494
- DOS at the Fermi energy (states/eV per cell) = 4.27



Record 3
Density functional theory data (PBE-GGA) for a relaxed Ta2HO crystal. Values from VASP.

Geometry as Quantum ESPRESSO input:
```
&SYSTEM
  ibrav = 0, nat = 8, ntyp = 3
/
ATOMIC_SPECIES
H 1.01 H.upf
O 16.00 O.upf
Ta 180.95 Ta.upf
ATOMIC_POSITIONS crystal
H 0.500 0.500 0.000
H 0.250 0.750 0.500
O 0.000 0.000 0.000
O 0.750 0.250 0.500
Ta 0.600 0.125 0.250
Ta 0.150 0.625 0.250
Ta 0.375 0.400 0.750
Ta 0.875 0.850 0.750
CELL_PARAMETERS angstrom
-3.181 2.258 2.417
2.377 -0.771 3.849
1.908 4.681 2.495
```

Results
- polymorph energy (0 for the lowest one) (meV/atom) = 0
- DOS at the Fermi energy (states/eV per cell) = 1.01



Record 4
Density functional theory data (PBE-GGA) for a relaxed TaHO crystal. Values from VASP.

Geometry as Quantum ESPRESSO input:
```
&SYSTEM
  ibrav = 0, nat = 6, ntyp = 3
/
ATOMIC_SPECIES
H 1.01 H.upf
O 16.00 O.upf
Ta 180.95 Ta.upf
ATOMIC_POSITIONS crystal
H 0.859 0.783 0.608
H 0.141 0.217 0.392
O 0.616 0.265 0.867
O 0.384 0.735 0.133
Ta 0.363 0.775 0.613
Ta 0.637 0.225 0.387
CELL_PARAMETERS angstrom
-1.097 0.784 -3.856
3.540 -1.469 -3.493
-0.112 -3.945 -0.769
```

Results
- energy (eV/f.u.) = -23.59
- DOS at the Fermi energy (states/eV per cell) = 1.51



Record 5
Density functional theory data (PBE-GGA) for a relaxed Ta2HO5 crystal. Values from VASP.

Geometry as Quantum ESPRESSO input:
```
&SYSTEM
  ibrav = 0, nat = 16, ntyp = 3
/
ATOMIC_SPECIES
Ta 180.95 Ta.upf
H 1.01 H.upf
O 16.00 O.upf
ATOMIC_POSITIONS crystal
Ta 0.854 0.707 0.437
Ta 0.862 0.725 0.065
Ta 0.138 0.275 0.565
Ta 0.146 0.293 0.937
H 0.946 0.891 0.777
H 0.054 0.109 0.277
O 0.966 0.932 0.875
O 0.964 0.928 0.604
O 0.312 0.625 0.458
O 0.321 0.643 0.036
O 0.815 0.631 0.248
O 0.185 0.369 0.748
O 0.679 0.357 0.536
O 0.688 0.375 0.958
O 0.036 0.072 0.104
O 0.034 0.068 0.375
CELL_PARAMETERS angstrom
3.915 0.000 0.000
-1.957 5.376 0.000
0.000 0.001 10.013
```

Results
- energy (eV/f.u.) = -70.90
- DOS at the Fermi energy (states/eV per cell) = 6.84



Record 6
Density functional theory data (PBE-GGA) for a relaxed TaTcH2O crystal. Values from VASP.

Geometry as Quantum ESPRESSO input:
```
&SYSTEM
  ibrav = 0, nat = 5, ntyp = 4
/
ATOMIC_SPECIES
H 1.01 H.upf
Tc 98.00 Tc.upf
O 16.00 O.upf
Ta 180.95 Ta.upf
ATOMIC_POSITIONS crystal
H 0.000 0.000 0.500
H 0.500 0.000 0.000
Tc 0.000 0.000 0.000
O 0.500 0.500 0.500
Ta 0.000 0.500 0.000
CELL_PARAMETERS angstrom
-2.696 1.740 0.020
-1.943 -3.052 3.584
1.237 1.889 2.279
```

Results
- energy (eV/f.u.) = -34.26
- DOS at the Fermi energy (states/eV per cell) = 0.57



Record 7
Density functional theory data (PBE-GGA) for a relaxed Tb2H3O crystal. Values from VASP.

Geometry as Quantum ESPRESSO input:
```
&SYSTEM
  ibrav = 0, nat = 12, ntyp = 3
/
ATOMIC_SPECIES
Tb 158.93 Tb.upf
H 1.01 H.upf
O 16.00 O.upf
ATOMIC_POSITIONS crystal
Tb 0.000 0.000 0.000
Tb 0.500 0.000 0.500
Tb 0.500 0.500 0.000
Tb 0.000 0.500 0.500
H 0.250 0.750 0.750
H 0.750 0.250 0.750
H 0.250 0.250 0.250
H 0.250 0.750 0.250
H 0.750 0.250 0.250
H 0.750 0.750 0.750
O 0.250 0.250 0.750
O 0.750 0.750 0.250
CELL_PARAMETERS angstrom
-2.879 2.579 -3.640
-2.419 -4.543 -1.303
-3.749 0.951 3.637
```

Results
- energy (eV/f.u.) = -32.74
- DOS at the Fermi energy (states/eV per cell) = 3.06



Record 8
Density functional theory data (PBE-GGA) for a relaxed TbHO crystal. Values from VASP.

Geometry as Quantum ESPRESSO input:
```
&SYSTEM
  ibrav = 0, nat = 3, ntyp = 3
/
ATOMIC_SPECIES
H 1.01 H.upf
Tb 158.93 Tb.upf
O 16.00 O.upf
ATOMIC_POSITIONS crystal
H 0.800 0.667 0.333
Tb 0.033 0.000 0.000
O 0.167 0.333 0.667
CELL_PARAMETERS angstrom
-2.721 -1.683 -3.941
1.692 -3.175 0.188
-3.035 0.537 1.866
```

Results
- polymorph energy (0 for the lowest one) (meV/atom) = 319
- DOS at the Fermi energy (states/eV per cell) = 0.00



Record 9
Density functional theory data (PBE-GGA) for a relaxed TbHO crystal. Values from VASP.

Geometry as Quantum ESPRESSO input:
```
&SYSTEM
  ibrav = 0, nat = 6, ntyp = 3
/
ATOMIC_SPECIES
H 1.01 H.upf
Tb 158.93 Tb.upf
O 16.00 O.upf
ATOMIC_POSITIONS crystal
H 0.359 0.359 0.922
H 0.641 0.641 0.078
Tb 0.000 0.000 0.000
Tb 0.500 0.500 0.500
O 0.116 0.116 0.653
O 0.884 0.884 0.347
CELL_PARAMETERS angstrom
3.732 0.000 0.000
1.866 3.232 0.000
1.866 1.077 6.419
```

Results
- polymorph energy (0 for the lowest one) (meV/atom) = 64
- DOS at the Fermi energy (states/eV per cell) = 0.00



Record 10
Density functional theory data (PBE-GGA) for a relaxed TbHO crystal. Values from VASP.

Geometry as Quantum ESPRESSO input:
```
&SYSTEM
  ibrav = 0, nat = 3, ntyp = 3
/
ATOMIC_SPECIES
H 1.01 H.upf
Tb 158.93 Tb.upf
O 16.00 O.upf
ATOMIC_POSITIONS crystal
H 0.000 0.000 0.000
Tb 0.250 0.250 0.250
O 0.500 0.500 0.500
CELL_PARAMETERS angstrom
-1.644 -3.340 -0.612
0.908 -2.018 -3.055
1.996 -3.181 0.365
```

Results
- polymorph energy (0 for the lowest one) (meV/atom) = 0
- DOS at the Fermi energy (states/eV per cell) = 0.00



Record 11
Density functional theory data (PBE-GGA) for a relaxed TcHO2 crystal. Values from VASP.

Geometry as Quantum ESPRESSO input:
```
&SYSTEM
  ibrav = 0, nat = 4, ntyp = 3
/
ATOMIC_SPECIES
H 1.01 H.upf
Tc 98.00 Tc.upf
O 16.00 O.upf
ATOMIC_POSITIONS crystal
H 0.000 0.000 0.000
Tc 0.500 0.500 0.500
O 0.921 0.921 0.921
O 0.079 0.079 0.079
CELL_PARAMETERS angstrom
1.608 0.000 5.041
-0.804 1.392 5.041
-0.804 -1.392 5.041
```

Results
- polymorph energy (0 for the lowest one) (meV/atom) = 0
- DOS at the Fermi energy (states/eV per cell) = 1.00



Record 12
Density functional theory data (PBE-GGA) for a relaxed TcHO2 crystal. Values from VASP.

Geometry as Quantum ESPRESSO input:
```
&SYSTEM
  ibrav = 0, nat = 4, ntyp = 3
/
ATOMIC_SPECIES
H 1.01 H.upf
Tc 98.00 Tc.upf
O 16.00 O.upf
ATOMIC_POSITIONS crystal
H 0.000 0.000 0.000
Tc 0.500 0.500 0.500
O 0.250 0.250 0.250
O 0.750 0.750 0.750
CELL_PARAMETERS angstrom
0.000 2.475 2.475
2.475 0.000 2.475
2.475 2.475 0.000
```

Results
- polymorph energy (0 for the lowest one) (meV/atom) = 813
- DOS at the Fermi energy (states/eV per cell) = 1.59



Record 13
Density functional theory data (PBE-GGA) for a relaxed TcHO2 crystal. Values from VASP.

Geometry as Quantum ESPRESSO input:
```
&SYSTEM
  ibrav = 0, nat = 8, ntyp = 3
/
ATOMIC_SPECIES
H 1.01 H.upf
Tc 98.00 Tc.upf
O 16.00 O.upf
ATOMIC_POSITIONS crystal
H 0.500 0.500 0.000
H 0.250 0.750 0.500
Tc 0.000 0.000 0.000
Tc 0.750 0.250 0.500
O 0.549 0.125 0.250
O 0.201 0.625 0.250
O 0.375 0.451 0.750
O 0.875 0.799 0.750
CELL_PARAMETERS angstrom
4.346 0.000 0.000
0.000 4.346 0.000
2.173 2.173 3.612
```

Results
- polymorph energy (0 for the lowest one) (meV/atom) = 733
- DOS at the Fermi energy (states/eV per cell) = 0.05



Record 14
Density functional theory data (PBE-GGA) for a relaxed TcHO2 crystal. Values from VASP.

Geometry as Quantum ESPRESSO input:
```
&SYSTEM
  ibrav = 0, nat = 4, ntyp = 3
/
ATOMIC_SPECIES
H 1.01 H.upf
Tc 98.00 Tc.upf
O 16.00 O.upf
ATOMIC_POSITIONS crystal
H 0.500 0.500 0.500
Tc 0.000 0.000 0.000
O 0.892 0.892 0.892
O 0.108 0.108 0.108
CELL_PARAMETERS angstrom
-5.319 1.018 1.985
-4.384 -1.030 3.605
-3.680 1.597 4.145
```

Results
- polymorph energy (0 for the lowest one) (meV/atom) = 1030
- DOS at the Fermi energy (states/eV per cell) = 1.03



Record 15
Density functional theory data (PBE-GGA) for a relaxed TlTcHO4 crystal. Values from VASP.

Geometry as Quantum ESPRESSO input:
```
&SYSTEM
  ibrav = 0, nat = 14, ntyp = 4
/
ATOMIC_SPECIES
Tl 204.38 Tl.upf
Tc 98.00 Tc.upf
H 1.01 H.upf
O 16.00 O.upf
ATOMIC_POSITIONS crystal
Tl 0.460 0.750 0.837
Tl 0.540 0.250 0.163
Tc 0.141 0.750 0.297
Tc 0.859 0.250 0.703
H 0.610 0.750 0.465
H 0.390 0.250 0.535
O 0.034 0.488 0.719
O 0.966 0.988 0.281
O 0.966 0.512 0.281
O 0.034 0.012 0.719
O 0.345 0.750 0.149
O 0.655 0.250 0.851
O 0.434 0.750 0.492
O 0.566 0.250 0.508
CELL_PARAMETERS angstrom
-2.762 -0.767 4.254
0.004 -6.228 -1.119
7.817 -0.458 2.577
```

Results
- energy (eV/f.u.) = -43.59
- DOS at the Fermi energy (states/eV per cell) = 0.31